No. 1
# Tb3Ce2Ho8

Tb3Ce2Ho8 after structural relaxation (PBE, the Alexandria database). Values from VASP.

Quantum ESPRESSO input file:
```
&SYSTEM
  ibrav = 0, nat = 13, ntyp = 3
/
ATOMIC_SPECIES
Ho 164.93 Ho.upf
Tb 158.93 Tb.upf
Ce 140.12 Ce.upf
CELL_PARAMETERS angstrom
5.553 0.000 0.713
-0.001 7.437 0.006
-1.298 -3.710 10.109
ATOMIC_POSITIONS angstrom
Ho -0.944 3.726 7.354
Ho 2.494 5.314 2.558
Ho 1.761 -1.588 8.270
Ho 1.760 1.596 8.278
Ho -0.860 0.008 6.703
Ho 5.115 3.718 4.125
Ho 5.199 0.001 3.474
Ho 2.495 2.130 2.550
Tb -0.001 5.350 0.007
Tb -1.297 -1.623 10.108
Tb 2.777 0.000 0.356
Ce 2.112 3.722 5.531
Ce 2.142 0.004 5.296
```

Output
As for the space group: P2/m (10). The value obtained for the calculated total energy is -58.6 eV for the cell shown. As for the energy above the most stable polymorph in this dataset: 3.14 eV per formula unit. The formation energy from the elements comes out at 3.8 eV/f.u.


No. 2
# Li2AcSm

Li2AcSm after structural relaxation (PBE, the Alexandria database). Values from VASP.

Quantum ESPRESSO input file:
```
&SYSTEM
  ibrav = 0, nat = 4, ntyp = 3
/
ATOMIC_SPECIES
Li 6.94 Li.upf
Ac 227.00 Ac.upf
Sm 150.36 Sm.upf
CELL_PARAMETERS angstrom
-0.242 -1.351 -3.690
3.131 -2.300 0.637
-4.668 -5.693 2.390
ATOMIC_POSITIONS angstrom
Li -3.581 -4.367 1.833
Li -1.088 -1.326 0.557
Ac -0.890 -4.672 -0.331
Sm 1.445 -1.826 -1.526
```

Output
As for the space group: P4/mmm (123). The value obtained for the calculated total energy is -12.1 eV for the cell shown. As for the energy above the most stable polymorph in this dataset: 0.00 eV per formula unit. The formation energy from the elements comes out at 0.6 eV/f.u.